Material: LaGe2I
Method: DFT, PBE
State: optimized geometry

abc: 4.5376 4.5376 24.2811
angles: 90.00 90.00 90.00
Last column: nearest neighbours and their distance in Å.
Space group I-42d (No. 122)
One atom of each set of equivalent atoms:
La  0.0000  0.0000  0.0000 [4 per cell]  4 I 3.21, 4 Ge 3.29
Ge  0.1289  0.2500  0.1250 [8 per cell]  2 Ge 2.55
I  0.0000  0.0000  0.5000 [4 per cell]  4 La 3.21

Values from the calculation:
- Volume: 499.9 Å³ per cell
- Relative energy among the computed polymorphs: 0 meV/atom

***

Material: LaSc2Sb
Method: DFT, PBE
State: optimized geometry

abc: 11.1076 3.4727 5.7261
angles: 90.00 105.76 90.00
Last column: nearest neighbours and their distance in Å.
Space group C2/m (No. 12)
One atom of each set of equivalent atoms:
La  0.0000  0.0000  0.0000 [2 per cell]  6 Sc 3.34-3.45, 4 Sb 3.35, 2 La 3.47
Sc  0.2307  0.0000  0.7270 [4 per cell]  2 Sb 3.08, 2 Sc 3.25, 1 La 3.34
Sb  0.0000  0.5000  0.5000 [2 per cell]  4 Sc 3.08, 4 La 3.35

Values from the calculation:
- Volume: 212.6 Å³ per cell
- Total DFT energy (no corrections): -23.307 eV per formula unit